# 1
Density functional theory data (GGA-PBE) for a geometry-optimized Ca2AcEu structure.

Cell: 5.4792 5.4792 5.7472 Å, 90.00 90.00 90.00°
Space group P4/mmm (No. 123)
Symmetry-distinct sites (fractional):
1 Ca 0.0000 0.5000 0.0000 (multiplicity 2)
2 Ac 0.0000 0.0000 0.5000 (multiplicity 1)
3 Eu 0.5000 0.5000 0.5000 (multiplicity 1)

Output
Energy above the lowest structure with this stoichiometry, meV/atom: 37
Calculated volume, Å³/atom: 43.1
ΔE_f, meV per atom: 71
Final energy, eV/cell: -18.10
Spin magnetization, μB per formula unit: 8.06

---

# 2
Density functional theory data (GGA-PBE) for a geometry-optimized CaAc2Eu structure.

Cell: 3.8534 3.8534 41.3643 Å, 90.00 90.00 120.00°
Space group R-3m (No. 166, hexagonal axes)
Symmetry-distinct sites (fractional):
1 Ca 0.0000 0.0000 0.0000 (multiplicity 3)
2 Ac 0.0000 0.0000 0.4122 (multiplicity 6)
3 Eu 0.0000 0.0000 0.5000 (multiplicity 3)

Output
Energy above the lowest structure with this stoichiometry, meV/atom: 121
Calculated volume, Å³/atom: 44.3
ΔE_f, meV per atom: 168
Final energy, eV/cell: -59.46
Spin magnetization, μB per formula unit: 8.05

---

# 3
Density functional theory data (GGA-PBE) for a geometry-optimized CaAcEu2 structure.

Cell: 5.5317 5.5317 5.6520 Å, 90.00 90.00 90.00°
Space group P4/mmm (No. 123)
Symmetry-distinct sites (fractional):
1 Ca 0.0000 0.0000 0.0000 (multiplicity 1)
2 Ac 0.5000 0.5000 0.0000 (multiplicity 1)
3 Eu 0.0000 0.5000 0.5000 (multiplicity 2)

Output
Energy above the lowest structure with this stoichiometry, meV/atom: 39
Calculated volume, Å³/atom: 43.2
ΔE_f, meV per atom: 61
Final energy, eV/cell: -26.41
Spin magnetization, μB per formula unit: 15.65

---

# 4
Density functional theory data (GGA-PBE) for a geometry-optimized CaAcEu2 structure.

Cell: 3.9163 3.9163 11.2355 Å, 90.00 90.00 90.00°
Space group P4/mmm (No. 123)
Symmetry-distinct sites (fractional):
1 Ca 0.0000 0.0000 0.0000 (multiplicity 1)
2 Ac 0.0000 0.0000 0.5000 (multiplicity 1)
3 Eu 0.5000 0.5000 0.2505 (multiplicity 2)

Output
Energy above the lowest structure with this stoichiometry, meV/atom: 0
Calculated volume, Å³/atom: 43.1
ΔE_f, meV per atom: 22
Final energy, eV/cell: -26.57
Spin magnetization, μB per formula unit: 14.95

---

# 5
Density functional theory data (GGA-PBE) for a geometry-optimized Ca2AcEu structure.

Cell: 4.3922 4.3922 8.8670 Å, 90.00 90.00 90.00°
Space group P4/mmm (No. 123)
Symmetry-distinct sites (fractional):
1 Ca 0.0000 0.0000 0.2441 (multiplicity 2)
2 Ac 0.5000 0.5000 0.5000 (multiplicity 1)
3 Eu 0.5000 0.5000 0.0000 (multiplicity 1)

Output
Energy above the lowest structure with this stoichiometry, meV/atom: 0
Calculated volume, Å³/atom: 42.8
ΔE_f, meV per atom: 34
Final energy, eV/cell: -18.25
Spin magnetization, μB per formula unit: 7.59

---

# 6
Density functional theory data (GGA-PBE) for a geometry-optimized CaAcEu4 structure.

Cell: 10.1595 10.1595 10.1595 Å, 90.00 90.00 90.00°
Space group F-43m (No. 216)
Symmetry-distinct sites (fractional):
1 Ca 0.0000 0.0000 0.0000 (multiplicity 4)
2 Ac 0.2500 0.2500 0.7500 (multiplicity 4)
3 Eu 0.1248 0.1248 0.3752 (multiplicity 16)

Output
Calculated volume, Å³/atom: 43.7
ΔE_f, meV per atom: 120
Final energy, eV/cell: -185.96
Spin magnetization, μB per formula unit: 30.76

---

# 7
Density functional theory data (GGA-PBE) for a geometry-optimized Ca2AcEu structure.

Cell: 8.8242 8.8242 8.8242 Å, 90.00 90.00 90.00°
Space group Fm-3m (No. 225)
Symmetry-distinct sites (fractional):
1 Ca 0.2500 0.2500 0.2500 (multiplicity 8)
2 Ac 0.0000 0.0000 0.0000 (multiplicity 4)
3 Eu 0.0000 0.0000 0.5000 (multiplicity 4)

Output
Energy above the lowest structure with this stoichiometry, meV/atom: 22
Calculated volume, Å³/atom: 42.9
ΔE_f, meV per atom: 57
Final energy, eV/cell: -72.63
Spin magnetization, μB per formula unit: 7.45

---

# 8
Density functional theory data (GGA-PBE) for a geometry-optimized CaAc2Eu structure.

Cell: 4.4052 4.4052 8.9549 Å, 90.00 90.00 90.00°
Space group P4/mmm (No. 123)
Symmetry-distinct sites (fractional):
1 Ca 0.0000 0.0000 0.0000 (multiplicity 1)
2 Ac 0.5000 0.5000 0.2468 (multiplicity 2)
3 Eu 0.0000 0.0000 0.5000 (multiplicity 1)

Output
Energy above the lowest structure with this stoichiometry, meV/atom: 3
Calculated volume, Å³/atom: 43.4
ΔE_f, meV per atom: 50
Final energy, eV/cell: -20.29
Spin magnetization, μB per formula unit: 7.32